No. 1
The following is a PBE-GGA calculation of a geometry-optimized PaAgSn structure, from the Open Quantum Materials Database.

Computed properties:
density	8.67	g/cm3
total moment	0.02	μB/f.u.
raw total energy	-60.32	eV for the cell shown
crystal system	cubic

Geometry as CIF:
```
data_PaAgSn
_chemical_formula_sum 'Pa4 Ag4 Sn4'
_cell_length_a 7.052
_cell_length_b 7.052
_cell_length_c 7.052
_cell_angle_alpha 90.00
_cell_angle_beta 90.00
_cell_angle_gamma 90.00
_symmetry_space_group_name_H-M 'P 1'
_symmetry_Int_Tables_number 1
_symmetry_space_group_name_Hall 'P 1'
loop_
_atom_site_label
_atom_site_type_symbol
_atom_site_fract_x
_atom_site_fract_y
_atom_site_fract_z
Pa1 Pa 0.000 0.000 0.000
Pa2 Pa 0.000 0.500 0.500
Pa3 Pa 0.500 0.000 0.500
Pa4 Pa 0.500 0.500 0.000
Ag1 Ag 0.250 0.250 0.750
Ag2 Ag 0.250 0.750 0.250
Ag3 Ag 0.750 0.250 0.250
Ag4 Ag 0.750 0.750 0.750
Sn1 Sn 0.250 0.250 0.250
Sn2 Sn 0.250 0.750 0.750
Sn3 Sn 0.750 0.250 0.750
Sn4 Sn 0.750 0.750 0.250
```

---

No. 2
The following is a PBE-GGA calculation of a geometry-optimized NaCoB structure, from the Open Quantum Materials Database.

Computed properties:
density	4.09	g/cm3
total moment	0.01	μB/f.u.
raw total energy	-47.80	eV for the cell shown
crystal system	cubic

Geometry as CIF:
```
data_NaCoB
_chemical_formula_sum 'Na4 Co4 B4'
_cell_length_a 5.318
_cell_length_b 5.318
_cell_length_c 5.318
_cell_angle_alpha 90.00
_cell_angle_beta 90.00
_cell_angle_gamma 90.00
_symmetry_space_group_name_H-M 'P 1'
_symmetry_Int_Tables_number 1
_symmetry_space_group_name_Hall 'P 1'
loop_
_atom_site_label
_atom_site_type_symbol
_atom_site_fract_x
_atom_site_fract_y
_atom_site_fract_z
Na1 Na 0.000 0.000 0.000
Na2 Na 0.000 0.500 0.500
Na3 Na 0.500 0.000 0.500
Na4 Na 0.500 0.500 0.000
Co1 Co 0.000 0.000 0.500
Co2 Co 0.000 0.500 0.000
Co3 Co 0.500 0.000 0.000
Co4 Co 0.500 0.500 0.500
B1 B 0.250 0.250 0.250
B2 B 0.250 0.750 0.750
B3 B 0.750 0.250 0.750
B4 B 0.750 0.750 0.250
```

---

No. 3
The following is a PBE-GGA calculation of a geometry-optimized CuAg9 structure, from the Open Quantum Materials Database.

Computed properties:
density	9.86	g/cm3
raw total energy	-28.86	eV for the cell shown
excess energy over the best structure of this formula in the dataset	9.4	meV per atom
crystal system	orthorhombic
calculated formation energy	0.3	eV/f.u.

Geometry as CIF:
```
data_CuAg9
_chemical_formula_sum 'Cu1 Ag9'
_cell_length_a 10.428
_cell_length_b 10.428
_cell_length_c 4.126
_cell_angle_alpha 90.00
_cell_angle_beta 90.00
_cell_angle_gamma 157.15
_symmetry_space_group_name_H-M 'P 1'
_symmetry_Int_Tables_number 1
_symmetry_space_group_name_Hall 'P 1'
loop_
_atom_site_label
_atom_site_type_symbol
_atom_site_fract_x
_atom_site_fract_y
_atom_site_fract_z
Cu1 Cu 0.000 0.000 0.000
Ag1 Ag 0.096 0.904 0.500
Ag2 Ag 0.199 0.801 0.000
Ag3 Ag 0.301 0.699 0.500
Ag4 Ag 0.404 0.596 0.000
Ag5 Ag 0.500 0.500 0.500
Ag6 Ag 0.596 0.404 0.000
Ag7 Ag 0.699 0.301 0.500
Ag8 Ag 0.801 0.199 0.000
Ag9 Ag 0.904 0.096 0.500
```

---

No. 4
The following is a PBE-GGA calculation of a geometry-optimized ScHgAu2 structure, from the Open Quantum Materials Database.

Computed properties:
density	13.90	g/cm3
total moment	0.00	μB/f.u.
raw total energy	-59.79	eV for the cell shown
crystal system	cubic
calculated formation energy	-1.8	eV/f.u.

Geometry as CIF:
```
data_ScHgAu2
_chemical_formula_sum 'Sc4 Hg4 Au8'
_cell_length_a 6.735
_cell_length_b 6.735
_cell_length_c 6.735
_cell_angle_alpha 90.00
_cell_angle_beta 90.00
_cell_angle_gamma 90.00
_symmetry_space_group_name_H-M 'P 1'
_symmetry_Int_Tables_number 1
_symmetry_space_group_name_Hall 'P 1'
loop_
_atom_site_label
_atom_site_type_symbol
_atom_site_fract_x
_atom_site_fract_y
_atom_site_fract_z
Sc1 Sc 0.000 0.000 0.000
Sc2 Sc 0.000 0.500 0.500
Sc3 Sc 0.500 0.000 0.500
Sc4 Sc 0.500 0.500 0.000
Hg1 Hg 0.250 0.250 0.250
Hg2 Hg 0.250 0.750 0.750
Hg3 Hg 0.750 0.250 0.750
Hg4 Hg 0.750 0.750 0.250
Au1 Au 0.000 0.000 0.500
Au2 Au 0.000 0.500 0.000
Au3 Au 0.250 0.250 0.750
Au4 Au 0.250 0.750 0.250
Au5 Au 0.500 0.000 0.000
Au6 Au 0.500 0.500 0.500
Au7 Au 0.750 0.250 0.250
Au8 Au 0.750 0.750 0.750
```

---

No. 5
The following is a PBE-GGA calculation of a geometry-optimized LuFeNiB structure, from the Open Quantum Materials Database.

Computed properties:
density	9.44	g/cm3
total moment	3.34	μB/f.u.
raw total energy	-94.44	eV for the cell shown
excess energy over the best structure of this formula in the dataset	137.4	meV per atom
crystal system	cubic

Geometry as CIF:
```
data_LuFeNiB
_chemical_formula_sum 'Lu4 Fe4 Ni4 B4'
_cell_length_a 5.957
_cell_length_b 5.957
_cell_length_c 5.957
_cell_angle_alpha 90.00
_cell_angle_beta 90.00
_cell_angle_gamma 90.00
_symmetry_space_group_name_H-M 'P 1'
_symmetry_Int_Tables_number 1
_symmetry_space_group_name_Hall 'P 1'
loop_
_atom_site_label
_atom_site_type_symbol
_atom_site_fract_x
_atom_site_fract_y
_atom_site_fract_z
Lu1 Lu 0.000 0.000 0.000
Lu2 Lu 0.000 0.500 0.500
Lu3 Lu 0.500 0.000 0.500
Lu4 Lu 0.500 0.500 0.000
Fe1 Fe 0.250 0.250 0.750
Fe2 Fe 0.250 0.750 0.250
Fe3 Fe 0.750 0.250 0.250
Fe4 Fe 0.750 0.750 0.750
Ni1 Ni 0.000 0.000 0.500
Ni2 Ni 0.000 0.500 0.000
Ni3 Ni 0.500 0.000 0.000
Ni4 Ni 0.500 0.500 0.500
B1 B 0.250 0.250 0.250
B2 B 0.250 0.750 0.750
B3 B 0.750 0.250 0.750
B4 B 0.750 0.750 0.250
```

---

No. 6
The following is a PBE-GGA calculation of a geometry-optimized Nb2GaHg structure, from the Open Quantum Materials Database.

Computed properties:
density	10.20	g/cm3
total moment	0.01	μB/f.u.
raw total energy	-87.61	eV for the cell shown
crystal system	cubic

Geometry as CIF:
```
data_Nb2GaHg
_chemical_formula_sum 'Nb8 Ga4 Hg4'
_cell_length_a 6.671
_cell_length_b 6.671
_cell_length_c 6.671
_cell_angle_alpha 90.00
_cell_angle_beta 90.00
_cell_angle_gamma 90.00
_symmetry_space_group_name_H-M 'P 1'
_symmetry_Int_Tables_number 1
_symmetry_space_group_name_Hall 'P 1'
loop_
_atom_site_label
_atom_site_type_symbol
_atom_site_fract_x
_atom_site_fract_y
_atom_site_fract_z
Nb1 Nb 0.000 0.000 0.000
Nb2 Nb 0.000 0.500 0.500
Nb3 Nb 0.250 0.250 0.250
Nb4 Nb 0.250 0.750 0.750
Nb5 Nb 0.500 0.000 0.500
Nb6 Nb 0.500 0.500 0.000
Nb7 Nb 0.750 0.250 0.750
Nb8 Nb 0.750 0.750 0.250
Ga1 Ga 0.000 0.000 0.500
Ga2 Ga 0.000 0.500 0.000
Ga3 Ga 0.500 0.000 0.000
Ga4 Ga 0.500 0.500 0.500
Hg1 Hg 0.250 0.250 0.750
Hg2 Hg 0.250 0.750 0.250
Hg3 Hg 0.750 0.250 0.250
Hg4 Hg 0.750 0.750 0.750
```

---

No. 7
The following is a PBE-GGA calculation of a geometry-optimized Na5Sm4Si4O16F structure, from the Open Quantum Materials Database.

Computed properties:
density	4.89	g/cm3
total moment	0.02	μB/f.u.
raw total energy	-215.40	eV for the cell shown
crystal system	tetragonal

Geometry as CIF:
```
data_Na5Sm4Si4O16F
_chemical_formula_sum 'Na5 Sm4 Si4 O16 F1'
_cell_length_a 8.736
_cell_length_b 8.736
_cell_length_c 8.736
_cell_angle_alpha 95.56
_cell_angle_beta 95.56
_cell_angle_gamma 143.72
_symmetry_space_group_name_H-M 'P 1'
_symmetry_Int_Tables_number 1
_symmetry_space_group_name_Hall 'P 1'
loop_
_atom_site_label
_atom_site_type_symbol
_atom_site_fract_x
_atom_site_fract_y
_atom_site_fract_z
Na1 Na 0.000 0.000 0.000
Na2 Na 0.096 0.581 0.693
Na3 Na 0.419 0.112 0.515
Na4 Na 0.597 0.904 0.485
Na5 Na 0.888 0.403 0.307
Sm1 Sm 0.295 0.361 0.700
Sm2 Sm 0.405 0.705 0.067
Sm3 Sm 0.639 0.339 0.933
Sm4 Sm 0.661 0.595 0.300
Si1 Si 0.111 0.257 0.350
Si2 Si 0.239 0.889 0.146
Si3 Si 0.743 0.093 0.854
Si4 Si 0.907 0.761 0.650
O1 O 0.045 0.279 0.860
O2 O 0.089 0.369 0.494
O3 O 0.147 0.711 0.968
O4 O 0.223 0.047 0.757
O5 O 0.289 0.256 0.435
O6 O 0.290 0.466 0.243
O7 O 0.405 0.911 0.280
O8 O 0.419 0.185 0.140
O9 O 0.534 0.777 0.825
O10 O 0.631 0.125 0.720
O11 O 0.721 0.581 0.767
O12 O 0.744 0.179 0.032
O13 O 0.815 0.955 0.233
O14 O 0.821 0.853 0.565
O15 O 0.875 0.595 0.506
O16 O 0.953 0.710 0.175
F1 F 0.500 0.500 0.000
```

---

No. 8
The following is a PBE-GGA calculation of a geometry-optimized GaCuPt2 structure, from the Open Quantum Materials Database.

Computed properties:
density	13.65	g/cm3
total moment	0.00	μB/f.u.
raw total energy	-40.17	eV for the cell shown
crystal system	hexagonal

Geometry as CIF:
```
data_GaCuPt2
_chemical_formula_sum 'Ga2 Cu2 Pt4'
_cell_length_a 4.287
_cell_length_b 4.287
_cell_length_c 8.003
_cell_angle_alpha 90.00
_cell_angle_beta 90.00
_cell_angle_gamma 120.00
_symmetry_space_group_name_H-M 'P 1'
_symmetry_Int_Tables_number 1
_symmetry_space_group_name_Hall 'P 1'
loop_
_atom_site_label
_atom_site_type_symbol
_atom_site_fract_x
_atom_site_fract_y
_atom_site_fract_z
Ga1 Ga 0.000 0.000 0.000
Ga2 Ga 0.000 0.000 0.500
Cu1 Cu 0.333 0.667 0.250
Cu2 Cu 0.667 0.333 0.750
Pt1 Pt 0.333 0.667 0.583
Pt2 Pt 0.333 0.667 0.917
Pt3 Pt 0.667 0.333 0.083
Pt4 Pt 0.667 0.333 0.417
```

---

No. 9
The following is a PBE-GGA calculation of a geometry-optimized ErCl3 structure, from the Open Quantum Materials Database.

Computed properties:
density	4.71	g/cm3
total moment	0.00	μB/f.u.
raw total energy	-75.49	eV for the cell shown
crystal system	orthorhombic

Geometry as CIF:
```
data_ErCl3
_chemical_formula_sum 'Er4 Cl12'
_cell_length_a 6.719
_cell_length_b 9.478
_cell_length_c 6.064
_cell_angle_alpha 90.00
_cell_angle_beta 90.00
_cell_angle_gamma 90.00
_symmetry_space_group_name_H-M 'P 1'
_symmetry_Int_Tables_number 1
_symmetry_space_group_name_Hall 'P 1'
loop_
_atom_site_label
_atom_site_type_symbol
_atom_site_fract_x
_atom_site_fract_y
_atom_site_fract_z
Er1 Er 0.125 0.250 0.060
Er2 Er 0.375 0.750 0.560
Er3 Er 0.625 0.250 0.440
Er4 Er 0.875 0.750 0.940
Cl1 Cl 0.043 0.750 0.331
Cl2 Cl 0.162 0.576 0.816
Cl3 Cl 0.162 0.924 0.816
Cl4 Cl 0.338 0.076 0.316
Cl5 Cl 0.338 0.424 0.316
Cl6 Cl 0.457 0.250 0.831
Cl7 Cl 0.543 0.750 0.169
Cl8 Cl 0.662 0.576 0.684
Cl9 Cl 0.662 0.924 0.684
Cl10 Cl 0.838 0.076 0.184
Cl11 Cl 0.838 0.424 0.184
Cl12 Cl 0.957 0.250 0.669
```

---

No. 10
The following is a PBE-GGA calculation of a geometry-optimized Tm3Zn3Cu2Pt structure, from the Open Quantum Materials Database.

Computed properties:
density	10.14	g/cm3
total moment	0.01	μB/f.u.
raw total energy	-35.44	eV for the cell shown
crystal system	hexagonal
calculated formation energy	-4.7	eV/f.u.

Geometry as CIF:
```
data_Tm3Zn3Cu2Pt
_chemical_formula_sum 'Tm3 Zn3 Cu2 Pt1'
_cell_length_a 7.089
_cell_length_b 7.089
_cell_length_c 3.859
_cell_angle_alpha 90.00
_cell_angle_beta 90.00
_cell_angle_gamma 120.00
_symmetry_space_group_name_H-M 'P 1'
_symmetry_Int_Tables_number 1
_symmetry_space_group_name_Hall 'P 1'
loop_
_atom_site_label
_atom_site_type_symbol
_atom_site_fract_x
_atom_site_fract_y
_atom_site_fract_z
Tm1 Tm 0.000 0.405 0.000
Tm2 Tm 0.405 0.000 0.000
Tm3 Tm 0.595 0.595 0.000
Zn1 Zn 0.000 0.744 0.500
Zn2 Zn 0.256 0.256 0.500
Zn3 Zn 0.744 0.000 0.500
Cu1 Cu 0.333 0.667 0.500
Cu2 Cu 0.667 0.333 0.500
Pt1 Pt 0.000 0.000 0.000
```

---

> Among the records above, which one has the lowest raw total energy?

Na5Sm4Si4O16F

---

> What is the raw total energy in the second record?

-47.80 eV for the cell shown

---

> Which of these has the lowest raw total energy?

Na5Sm4Si4O16F

---

> What is the density in the third record?

9.86 g/cm3